## RbCa3Nb (SCAN)

Data for RbCa3Nb at its PBEsol-relaxed geometry.

Calculated values
**Total magnetization**: 0.173 μB per atom
**Space group**: Pm-3m
**DOS at the Fermi energy**: 4.592 states/eV/f.u.
**ΔE_f**: 1.614 eV per atom

```
5
Lattice="-1.174 3.719 -3.894 -3.780 -3.408 -2.114 -3.835 2.221 3.277" Properties=species:S:1:pos:R:3 pbc="T T T"
Nb -4.395 1.266 -1.366
Ca -1.890 -1.704 -1.057
Ca -1.917 1.110 1.639
Ca -0.587 1.860 -1.947
Rb 0.000 0.000 0.000
```